A plane-wave DFT calculation with PBE was carried out for a relaxed KCrRu2 crystal.

Output
Distance to the lowest polymorph of the same formula in eV/atom: 0.1361
Formation energy in eV/f.u.: 3.259
Size of the total moment in μB per formula unit: 1.12
V in A^3/atom: 21.328

Lattice parameters (Å, degrees): 8.6816 2.8834 6.9141 90.00 99.66 90.00
With the nearest neighbours (Å) after each atom.
Space group C2/m (No. 12)
Asymmetric unit:
K: 0.0000 0.0000 0.0000 [2 per cell]  2 K 2.88
Cr: 0.0000 0.5000 0.5000 [2 per cell]  4 Ru 2.39
Ru: 0.2103 0.0000 0.6358 [4 per cell]  2 Cr 2.39, 2 Ru 2.55